This record from the Alexandria database describes YOs3Au after structural relaxation. The functional is GGA-PBEsol.

Cell: 4.727 4.727 4.727 Å, 90.00 90.00 90.00°
Fractional coordinates of all 5 atoms:
Au: 0.500 0.500 0.500
Os: 0.500 0.000 0.000
Os: 0.000 0.500 0.000
Os: 0.000 0.000 0.500
Y: 0.000 0.000 0.000

Symmetry: Pm-3m
ρ: 13.47 g/cm³
Total energy: -6.373 eV per atom